Entry from Alexandria via LeMat-Bulk: crystalline Rb2PuClF6 at its relaxed geometry (PBE-GGA).

```
10
Lattice="6.2379 0.0000 0.0000 -3.1190 5.4022 0.0000 0.0000 0.0000 6.5201" Properties=species:S:1:pos:R:3 pbc="T T T"
Rb 0.0000 3.6015 1.5534
Rb 3.1190 1.8007 4.9667
Pu 0.0000 0.0000 3.2601
Cl 0.0000 0.0000 0.0000
F 0.0000 1.8696 4.2198
F -1.4998 4.4674 4.2198
F 1.6192 0.9348 2.3003
F 1.4998 4.4674 4.2198
F 4.6188 0.9348 2.3003
F 3.1190 3.5326 2.3003
```

## Properties
Spin magnetization   2.94 μB/cell
N(E_F)   1.294 states/eV per atom
Raw formation energy   -2.788 eV/atom

Entry from Alexandria via LeMat-Bulk: crystalline Tb3PmDy at its relaxed geometry (PBE-GGA).

```
10
Lattice="6.3138 0.0000 0.0000 0.0000 5.7045 0.0000 -3.1502 0.0000 9.1035" Properties=species:S:1:pos:R:3 pbc="T T T"
Tb 0.5378 1.4261 0.8960
Tb -0.5252 4.2784 6.3843
Tb 0.5408 1.4261 4.5578
Tb 2.6228 4.2784 4.5457
Tb 3.6888 1.4261 2.7191
Tb 2.6258 4.2784 8.2074
Pm -0.5157 4.2784 2.7309
Pm 3.6792 1.4261 6.3726
Dy 2.6348 4.2784 0.9044
Dy 0.5287 1.4261 8.1991
```

## Properties
Excess energy over the best structure of this formula in the dataset   0.000 eV per atom
Spin magnetization   0.00 μB/cell
N(E_F)   1.678 states/eV per atom
Formation energy from the elements   0.08 eV per formula unit

Entry from Alexandria via LeMat-Bulk: crystalline LaCr2Ni at its relaxed geometry (PBE-GGA).

```
4
Lattice="3.2447 0.0000 0.0000 0.0000 3.2447 0.0000 0.0000 0.0000 6.6090" Properties=species:S:1:pos:R:3 pbc="T T T"
La 0.0000 0.0000 0.0000
Cr 1.6224 1.6224 2.3291
Cr 1.6224 1.6224 4.2799
Ni 0.0000 0.0000 3.3045
```

## Properties
Excess energy over the best structure of this formula in the dataset   0.237 eV per atom
Spin magnetization   0.83 μB/cell
N(E_F)   1.608 states/eV per atom
Formation energy from the elements   1.92 eV per formula unit

Number 1: calculated volume 219.72 Å³/cell. Number 2: calculated volume 327.88 Å³/cell. Number 3: calculated volume 69.58 Å³/cell.